The following is a PBE calculation of crystalline DyGeAuSe3 at its relaxed geometry, from OQMD.

## Properties
Raw total energy: -4.570 eV/atom
Calculated density: 7.6 Mg/m³
Size of the total moment: 0.01 μB per cell

a b c (Å): 10.7257 7.1770 7.1770
angles (deg): 31.91 90.00 90.00
With the nearest neighbours (Å) after each atom.
Positions (direct):
Au 0.0000 0.4666 0.4666  4 Se 2.63-2.64, 2 Ge 2.94
Au 0.5000 0.5334 0.5334  4 Se 2.63-2.64, 2 Ge 2.94
Dy 0.2500 0.0000 0.0000  6 Se 2.91-2.98
Dy 0.7500 0.0000 0.0000  6 Se 2.91-2.98
Ge 0.5000 0.1911 0.1911  4 Se 2.93, 2 Au 2.94
Ge 0.0000 0.8089 0.8089  4 Se 2.93, 2 Au 2.94
Se 0.0000 0.0940 0.0940  2 Au 2.64
Se 0.1944 0.3510 0.3510  1 Au 2.63, 2 Dy 2.91, 2 Ge 2.93
Se 0.8056 0.3510 0.3510  1 Au 2.63, 2 Dy 2.91, 2 Ge 2.93
Se 0.3056 0.6490 0.6490  1 Au 2.63, 2 Dy 2.91, 2 Ge 2.93
Se 0.6944 0.6490 0.6490  1 Au 2.63, 2 Dy 2.91, 2 Ge 2.93
Se 0.5000 0.9060 0.9060  2 Au 2.64